VASP calculation (PBE-GGA) on a geometry-optimized BaSbHPb2 structure.

It has space group P4/mmm (No. 123), with a = 5.093 Å, b = 5.093 Å, c = 5.279 Å, α = 90.00°, β = 90.00° and γ = 90.00°. The inequivalent atoms are Ba at (0.000, 0.000, 0.000), Sb at (0.500, 0.500, 0.000), H at (0.000, 0.000, 0.500) and Pb at (0.000, 0.500, 0.500).

Its raw total energy is -3.56 eV per atom.